Here is crystalline DySiAu3 at its relaxed geometry from the Alexandria database. Energies are from GGA-PBE.

As for the total energy: -4.503 eV/atom. The calculation puts the uncorrected formation energy at -0.5314 eV per atom. The spin magnetization comes out at 0.0 Bohr magnetons per cell.

It has space group Pnma (No. 62), with a = 9.083 Å, b = 4.754 Å, c = 8.998 Å, α = 90.00°, β = 90.00° and γ = 90.00°. Symmetry generates all atoms from Dy at (0.229, 0.250, 0.009), Si at (0.127, 0.250, 0.682), Au at (0.073, 0.250, 0.416), Au at (0.097, 0.750, 0.164) and Au at (0.113, 0.750, 0.833).